[1]
# TbTm4Sc

Crystalline TbTm4Sc at its relaxed geometry (PBE-GGA, Alexandria).

Computed properties:
total DFT energy (no corrections): -4.70 eV/atom

Cell: 3.3888 6.4445 9.4593 Å, 90.00 90.00 58.30°
Fractional coordinates of all 6 atoms:
Tm 0.9972 0.5013 0.3297
Tm 0.9974 0.5013 0.6740
Tm 0.4975 0.0013 0.1639
Tm 0.4971 0.0013 0.8398
Tb 0.9973 0.0013 0.5019
Sc 0.4973 0.5013 0.0019

=====

[2]
# Tb12Tm7Sc

Crystalline Tb12Tm7Sc at its relaxed geometry (PBE-GGA, Alexandria).

Computed properties:
total DFT energy (no corrections): -4.54 eV/atom

Cell: 8.6520 8.6520 8.6520 Å, 98.35 98.35 98.35°
Fractional coordinates of all 20 atoms:
Tb 0.7614 0.2386 0.4999
Tb 0.2386 0.4999 0.7614
Tb 0.0893 0.3564 0.3562
Tb 0.6438 0.9107 0.6436
Tb 0.2386 0.7614 0.5001
Tb 0.3562 0.0893 0.3564
Tb 0.4999 0.7614 0.2386
Tb 0.5001 0.2386 0.7614
Tb 0.9107 0.6436 0.6438
Tb 0.6436 0.6438 0.9107
Tb 0.3564 0.3562 0.0893
Tb 0.7614 0.5001 0.2386
Tm 0.9056 0.3352 0.9056
Tm 0.3352 0.9056 0.9056
Tm 0.0944 0.0944 0.6648
Tm 0.6648 0.0944 0.0944
Tm 0.5000 0.5000 0.5000
Tm 0.9056 0.9056 0.3352
Tm 0.0944 0.6648 0.0944
Sc 0.0000 0.0000 0.0000